PmGa3PdAu | PBE-GGA | relaxed

Values from the calculation:
Total energy ... -4.088 eV/atom
Magnetization ... 0.0 μB per cell
Fermi-level density of states ... 11.2 states/eV/cell

Cell: 6.5815 13.5175 6.0356 Å, 90.00 90.00 90.00°
Space group Cmcm (No. 63)
Symmetry-distinct sites (fractional):
Pm 0.0000 0.2080 0.2500
Ga 0.0000 0.1957 0.7500
Ga 0.2008 0.5000 0.0000
Pd 0.0000 0.0178 0.7500
Au 0.0000 0.3740 0.7500